No. 1
Here is HfTaI3 after structural relaxation from the Alexandria database. Energies are from PBE.

## Properties
ΔE to the lowest computed polymorph = 0.000 eV per atom
Formation energy from raw total energies = 1.03 eV per atom
N(E_F) = 10.01 states/eV/cell

a b c (Å): 5.624 5.624 5.624
angles (deg): 90.00 90.00 90.00
Last column: magnetic moment on the atom in μB.
Sites, in units of the cell vectors:
I  0.000  0.500  0.000  0.02
I  0.000  0.000  0.500  0.02
I  0.500  0.000  0.000  0.01
Hf  0.000  0.000  0.000  0.09
Ta  0.500  0.500  0.500  2.46

No. 2
Here is IBr2Cl after structural relaxation from the Alexandria database. Energies are from PBE.

## Properties
ΔE to the lowest computed polymorph = 0.254 eV per atom
Formation energy from raw total energies = 0.28 eV per atom
N(E_F) = 4.46 states/eV/cell

a b c (Å): 12.872 12.872 12.872
angles (deg): 15.74 15.74 15.74
Sites, in units of the cell vectors:
I  0.500  0.500  0.500
Br  0.938  0.938  0.938
Br  0.062  0.062  0.062
Cl  0.000  0.000  0.000

No. 3
Here is La2TbPr2Sm after structural relaxation from the Alexandria database. Energies are from PBE.

## Properties
N(E_F) = 18.39 states/eV/cell
E_form = 1.106 kcal/mol of atoms

a b c (Å): 5.830 7.180 10.080
angles (deg): 90.00 90.00 90.00
Sites, in units of the cell vectors:
La  0.500  0.008  0.000
La  0.000  0.258  0.174
La  0.500  0.508  0.000
La  0.000  0.758  0.826
Tb  0.000  0.008  0.500
Tb  0.000  0.508  0.500
Pr  0.000  0.257  0.835
Pr  0.500  0.258  0.333
Pr  0.000  0.757  0.165
Pr  0.500  0.758  0.667
Sm  0.500  0.258  0.660
Sm  0.500  0.758  0.340

No. 4
Here is Cu2WSe after structural relaxation from the Alexandria database. Energies are from PBE.

## Properties
Formation energy from raw total energies = 0.60 eV per atom
N(E_F) = 5.02 states/eV/cell

a b c (Å): 7.071 7.071 5.572
angles (deg): 50.62 50.62 90.00
Sites, in units of the cell vectors:
Cu  0.609  0.125  0.250
Cu  0.141  0.625  0.250
Cu  0.375  0.391  0.750
Cu  0.875  0.859  0.750
Se  0.500  0.500  0.000
Se  0.250  0.750  0.500
W  0.000  0.000  0.000
W  0.750  0.250  0.500

No. 5
Here is Cd3MoIr after structural relaxation from the Alexandria database. Energies are from PBE.

## Properties
ΔE to the lowest computed polymorph = 0.815 eV per atom
N(E_F) = 11.22 states/eV/cell
E_form = 44.434 kcal/mol of atoms

a b c (Å): 5.237 5.237 5.237
angles (deg): 90.00 90.00 90.00
Last column: magnetic moment on the atom in μB.
Sites, in units of the cell vectors:
Mo  0.000  0.000  0.000  2.10
Ir  0.500  0.500  0.500  1.46
Cd  0.000  0.500  0.000  0.04
Cd  0.000  0.000  0.500  0.03
Cd  0.500  0.000  0.000  0.04

No. 6
Here is CrCd after structural relaxation from the Alexandria database. Energies are from PBE.

## Properties
N(E_F) = 10.22 states/eV/cell
E_form = 13.975 kcal/mol of atoms

a b c (Å): 7.713 7.713 4.637
angles (deg): 90.00 90.00 90.00
Sites, in units of the cell vectors:
Cr  0.141  0.141  0.000
Cr  0.141  0.859  0.000
Cr  0.859  0.141  0.000
Cr  0.859  0.859  0.000
Cr  0.641  0.641  0.500
Cr  0.641  0.359  0.500
Cr  0.359  0.641  0.500
Cr  0.359  0.359  0.500
Cd  0.790  0.500  0.000
Cd  0.210  0.500  0.000
Cd  0.500  0.210  0.000
Cd  0.500  0.790  0.000
Cd  0.290  0.000  0.500
Cd  0.710  0.000  0.500
Cd  0.000  0.710  0.500
Cd  0.000  0.290  0.500

No. 7
Here is MnBeS2 after structural relaxation from the Alexandria database. Energies are from PBE.

## Properties
Formation energy from raw total energies = 0.14 eV per atom
N(E_F) = 4.78 states/eV/cell

a b c (Å): 7.163 7.163 7.163
angles (deg): 24.54 24.54 24.54
Sites, in units of the cell vectors:
Be  0.500  0.500  0.500
S  0.897  0.897  0.897
S  0.103  0.103  0.103
Mn  0.000  0.000  0.000

No. 8
Here is BaMg2Zr after structural relaxation from the Alexandria database. Energies are from PBE.

## Properties
ΔE to the lowest computed polymorph = 0.201 eV per atom
N(E_F) = 5.05 states/eV/cell
E_form = 7.784 kcal/mol of atoms

a b c (Å): 5.632 5.632 6.941
angles (deg): 82.75 82.75 34.01
Sites, in units of the cell vectors:
Ba  0.750  0.750  0.750
Mg  0.990  0.990  0.062
Mg  0.510  0.510  0.438
Zr  0.250  0.250  0.250